1.
# Mg2SiPt5

Crystalline Mg2SiPt5 at its relaxed geometry (PBE, Alexandria via LeMat-Bulk).

```
Mg2SiPt5
1.0
4.072 0.000 0.000
0.000 5.518 0.000
0.000 0.000 10.719
Pt Mg Si
10 4 2
direct
0.000 0.936 0.736
0.500 0.187 0.601
0.000 0.500 0.500
0.000 0.436 0.764
0.500 0.313 0.101
0.000 0.564 0.236
0.000 0.000 0.000
0.500 0.687 0.899
0.000 0.064 0.264
0.500 0.813 0.399
0.500 0.826 0.143
0.500 0.674 0.643
0.500 0.174 0.857
0.500 0.326 0.357
0.000 0.000 0.500
0.000 0.500 0.000
```

Values from the calculation:
- Raw formation energy: -18.39 kcal/mol of atoms
- Energy: -5.65 eV per atom
- Symmetry: Pbam (55)

***

2.
# Ni3BMo

Crystalline Ni3BMo at its relaxed geometry (PBE, Alexandria via LeMat-Bulk).

```
Ni3BMo
1.0
3.851 0.000 0.000
0.000 3.851 0.000
0.000 0.000 3.851
Ni Mo B
3 1 1
direct
0.000 0.000 0.500
0.500 0.000 0.000
0.000 0.500 0.000
0.500 0.500 0.500
0.000 0.000 0.000
```

Values from the calculation:
- Energy relative to the elements: 220.8 meV per atom
- Energy: -6.75 eV per atom
- Symmetry: Pm-3m (221)

***

Q: The highest energy belongs to which entry?
A: Mg2SiPt5

***

Q: The highest energy belongs to which entry?
A: Mg2SiPt5

***

Q: What is the formula in the first record?
A: Mg2SiPt5

***

Q: Among the records above, which one has the highest energy?
A: Mg2SiPt5